Record 1
SrZr2Tl (PBE, optimized geometry); energy of formation from the pure elements = 0.35 eV/atom; calculated volume = 29.377 Å³ per atom; energy relative to the lowest polymorph listed for this composition = 300 meV/atom; calculated total energy = -19.74 eV for the cell shown
1.0
3.890 0.000 0.000
0.000 3.890 0.000
0.000 0.000 7.767
Sr Tl Zr
1 1 2
Direct
0.500 0.500 0.250
0.500 0.500 0.750
0.000 0.000 0.930
0.000 0.000 0.570


Record 2
AlTl2Fe (PBE, optimized geometry); energy of formation from the pure elements = 0.55 eV/atom; calculated volume = 21.373 Å³ per atom; energy relative to the lowest polymorph listed for this composition = 285 meV/atom; calculated total energy = -14.72 eV for the cell shown
1.0
-0.796 1.846 2.337
-1.045 -2.507 1.458
8.109 -1.216 3.721
Tl Fe Al
2 1 1
Direct
0.000 0.000 0.973
0.000 0.000 0.527
0.500 0.500 0.750
0.500 0.500 0.250


Record 3
Ba3MgAg (PBE, optimized geometry); energy of formation from the pure elements = -0.09 eV/atom; calculated volume = 43.430 Å³ per atom; energy relative to the lowest polymorph listed for this composition = 0 meV/atom; calculated total energy = -21.29 eV for the cell shown
1.0
5.899 0.000 1.348
0.000 6.037 0.000
0.301 0.000 12.264
Ba Mg Ag
6 2 2
Direct
0.749 0.250 0.151
0.397 0.250 0.854
0.574 0.250 0.501
0.251 0.750 0.146
0.900 0.750 0.849
0.075 0.750 0.499
0.482 0.750 0.684
0.166 0.250 0.316
0.664 0.750 0.320
0.984 0.250 0.680


Record 4
Ta2PCl (PBE, optimized geometry); calculated volume = 16.591 Å³ per atom; energy relative to the lowest polymorph listed for this composition = 600 meV/atom; energy relative to the elements, uncorrected = 278.6 meV/atom; calculated total energy = -29.85 eV for the cell shown
1.0
-2.921 4.536 2.355
-5.790 1.021 0.281
4.249 -3.980 0.866
Cl P Ta
1 1 2
Direct
0.500 0.500 0.000
0.750 0.250 0.500
0.000 0.000 0.000
0.250 0.750 0.500


Record 5
Cs2ZrAuSe4 (PBE, optimized geometry); calculated volume = 38.380 Å³ per atom; energy relative to the elements, uncorrected = -996.3 meV/atom; calculated total energy = -70.88 eV for the cell shown
1.0
6.245 0.000 0.000
3.123 7.397 0.000
3.123 0.000 13.293
Cs Zr Au Se
4 2 2 8
Direct
0.179 0.000 0.643
0.821 0.000 0.357
0.571 0.500 0.857
0.929 0.500 0.143
0.750 0.500 0.500
0.000 0.000 0.000
0.250 0.500 0.500
0.500 0.000 0.000
0.284 0.802 0.110
0.195 0.198 0.890
0.914 0.802 0.890
0.607 0.198 0.110
0.466 0.698 0.390
0.555 0.302 0.610
0.836 0.698 0.610
0.143 0.302 0.390


Record 6
AcEuIr2 (PBE, optimized geometry); energy of formation from the pure elements = -0.29 eV/atom; calculated volume = 23.623 Å³ per atom; energy relative to the lowest polymorph listed for this composition = 0 meV/atom; calculated total energy = -33.27 eV for the cell shown
1.0
5.113 0.000 0.000
2.556 4.428 0.000
2.556 1.476 4.174
Eu Ac Ir
1 1 2
Direct
0.000 0.000 0.000
0.500 0.500 0.500
0.250 0.250 0.250
0.750 0.750 0.750


Record 7
MnCoBr4 (PBE, optimized geometry); calculated volume = 29.488 Å³ per atom; energy relative to the lowest polymorph listed for this composition = 0 meV/atom; energy relative to the elements, uncorrected = -513.4 meV/atom; calculated total energy = -26.05 eV for the cell shown
1.0
-2.936 2.366 0.540
-3.569 -7.065 -1.886
-2.065 -3.719 5.065
Mn Co Br
1 1 4
Direct
0.000 0.000 0.500
0.500 0.000 0.000
0.103 0.206 0.729
0.897 0.794 0.271
0.606 0.213 0.209
0.394 0.787 0.791


Record 8
PaIr2Pd (PBE, optimized geometry); energy of formation from the pure elements = -0.80 eV/atom; calculated volume = 17.273 Å³ per atom; energy relative to the lowest polymorph listed for this composition = 0 meV/atom; calculated total energy = -35.62 eV for the cell shown
1.0
4.004 0.000 0.000
0.000 4.154 0.000
0.000 0.000 4.154
Pa Pd Ir
1 1 2
Direct
0.500 0.500 0.500
0.500 0.000 0.000
0.000 0.000 0.500
0.000 0.500 0.000